[1]
DFT (PBE with a Hubbard U) results for a relaxed K5Fe3F12 crystal.

a b c (Å): 10.6103 10.6103 3.3575
angles (deg): 90.00 90.00 120.00
Atoms (fractional coordinates):
K  0.0000  0.7174  0.0000
K  0.2826  0.2826  0.0000
K  0.3333  0.6667  0.0000
K  0.6667  0.3333  0.0000
K  0.7174  0.0000  0.0000
Fe  0.0000  0.3391  0.5000
Fe  0.3391  0.0000  0.5000
Fe  0.6609  0.6609  0.5000
F  0.0000  0.2136  0.0000
F  0.0000  0.4625  0.0000
F  0.2136  0.0000  0.0000
F  0.2149  0.4379  0.5000
F  0.2230  0.7851  0.5000
F  0.4379  0.2149  0.5000
F  0.4625  0.0000  0.0000
F  0.5375  0.5375  0.0000
F  0.5621  0.7770  0.5000
F  0.7770  0.5621  0.5000
F  0.7851  0.2230  0.5000
F  0.7864  0.7864  0.0000

Results
* energy: -4.8855 eV per atom
* magnetization: 13.00 μB per formula unit

=====

[2]
DFT (PBE with a Hubbard U) results for a relaxed K2FeF8 crystal.

a b c (Å): 5.9704 5.9704 6.9792
angles (deg): 112.51 112.51 55.58
Atoms (fractional coordinates):
K  0.2444  0.2444  0.2205
K  0.7556  0.7556  0.7795
Fe  0.0000  0.0000  0.5000
F  0.1319  0.6710  0.5642
F  0.1445  0.1445  0.7971
F  0.3290  0.8681  0.4358
F  0.4781  0.4781  0.8860
F  0.5219  0.5219  0.1140
F  0.6710  0.1319  0.5642
F  0.8555  0.8555  0.2029
F  0.8681  0.3290  0.4358

Results
* energy: -4.0456 eV per atom
* magnetization: 4.00 μB per formula unit

=====

[3]
DFT (PBE with a Hubbard U) results for a relaxed KFe3F crystal.

a b c (Å): 5.3955 5.3955 5.3955
angles (deg): 90.00 90.00 90.00
Atoms (fractional coordinates):
K  0.0000  0.0000  0.0000
Fe  0.0000  0.0000  0.5000
Fe  0.0000  0.5000  0.0000
Fe  0.5000  0.0000  0.0000
F  0.5000  0.5000  0.5000

Results
* energy: -2.1895 eV per atom
* distance to the lowest polymorph of the same formula: 0.931 eV/atom
* magnetization: 9.92 μB per formula unit